NpSc2Ag | PBE-GGA | optimized geometry

The structure belongs to space group P4/mmm (No. 123); the cell edges are 3.134, 3.134 and 8.755 Å and the angles 90.00°, 90.00° and 90.00°. Symmetry generates all atoms from Np at (0.000, 0.000, 0.000), Sc at (0.500, 0.500, 0.267) and Ag at (0.000, 0.000, 0.500).

The calculation puts the energy above the most stable polymorph in this dataset at 0.000 eV/atom.